{
  "formula": "YCoPO",
  "functional": "PBE+U",
  "state": "relaxed",
  "dft_energy_ev_per_atom": -6.89,
  "sg": "Pmc2_1",
  "cell": [[4.292, 0.000, 0.000], [0.000, 5.973, 0.000], [0.000, 0.000, 5.703]],
  "species": ["Y", "Y", "Co", "Co", "P", "P", "O", "O"],
  "fractional_positions": [[0.000, 0.235, 0.000], [0.000, 0.765, 0.500], [0.500, 0.364, 0.616], [0.500, 0.636, 0.116], [0.000, 0.235, 0.498], [0.000, 0.765, 0.998], [0.500, 0.334, 0.972], [0.500, 0.666, 0.472]]
}